## 1
# MnAlF2

A geometry-optimized MnAlF2 structure (GGA+U, Alexandria).

a b c (Å): 6.0739 6.0739 6.0739
angles (deg): 121.98 121.98 86.60
Fractional positions:
1 Al 0.2500 0.7500 0.5000
2 Al 0.5000 0.5000 0.0000
3 Mn 0.0000 0.0000 0.0000
4 Mn 0.7500 0.2500 0.5000
5 F 0.8750 0.6246 0.2496
6 F 0.3746 0.1250 0.7496
7 F 0.3750 0.6254 0.7504
8 F 0.3754 0.6250 0.2504

Volume ... 153.4 Å³/cell
Magnetization ... 4.98 μB/f.u.

---

## 2
# MnAlF2

A geometry-optimized MnAlF2 structure (GGA+U, Alexandria).

a b c (Å): 4.4177 4.4177 4.4177
angles (deg): 60.00 60.00 60.00
Fractional positions:
1 Mn 0.5000 0.5000 0.5000
2 Al 0.0000 0.0000 0.0000
3 F 0.7500 0.7500 0.7500
4 F 0.2500 0.2500 0.2500

Volume ... 61.0 Å³/cell
Magnetization ... 5.80 μB/f.u.

---

## 3
# MnAlF2

A geometry-optimized MnAlF2 structure (GGA+U, Alexandria).

a b c (Å): 7.6490 7.6490 7.6490
angles (deg): 22.33 22.33 22.33
Fractional positions:
1 F 0.0825 0.0825 0.0825
2 F 0.9175 0.9175 0.9175
3 Al 0.0000 0.0000 0.0000
4 Mn 0.5000 0.5000 0.5000

Volume ... 56.7 Å³/cell
Magnetization ... 4.95 μB/f.u.

---

Which structure loses on stability? 2 does.

---

## 1
# MnAlN2F

A geometry-optimized MnAlN2F structure (GGA+U, Alexandria).

a b c (Å): 3.8913 3.8913 3.7885
angles (deg): 90.00 90.00 90.00
Fractional positions:
1 Al 0.5000 0.5000 0.5000
2 F 0.0000 0.0000 0.5000
3 Mn 0.0000 0.0000 0.0000
4 N 0.5000 0.0000 0.0000
5 N 0.0000 0.5000 0.0000

Volume ... 57.4 Å³/cell
Magnetization ... 2.74 μB/f.u.

---

## 2
# MnAlN2F

A geometry-optimized MnAlN2F structure (GGA+U, Alexandria).

a b c (Å): 3.8267 3.8267 3.6643
angles (deg): 90.00 90.00 90.00
Fractional positions:
1 N 0.0000 0.5000 0.0000
2 N 0.5000 0.0000 0.0000
3 Mn 0.5000 0.5000 0.5000
4 Al 0.0000 0.0000 0.0000
5 F 0.0000 0.0000 0.5000

Volume ... 53.7 Å³/cell
Magnetization ... 3.63 μB/f.u.

---

Which structure loses on stability? 1 does.

---

## 1
# MnAlOF2

A geometry-optimized MnAlOF2 structure (GGA+U, Alexandria).

a b c (Å): 4.1365 4.1365 3.9205
angles (deg): 90.00 90.00 90.00
Fractional positions:
1 F 0.0000 0.5000 0.0000
2 F 0.5000 0.0000 0.0000
3 Mn 0.0000 0.0000 0.0000
4 O 0.0000 0.0000 0.5000
5 Al 0.5000 0.5000 0.5000

Volume ... 67.1 Å³/cell
Magnetization ... 4.01 μB/f.u.

---

## 2
# MnAlOF2

A geometry-optimized MnAlOF2 structure (GGA+U, Alexandria).

a b c (Å): 4.0719 4.0719 3.5523
angles (deg): 90.00 90.00 90.00
Fractional positions:
1 Mn 0.5000 0.5000 0.5000
2 Al 0.0000 0.0000 0.0000
3 O 0.0000 0.0000 0.5000
4 F 0.5000 0.0000 0.0000
5 F 0.0000 0.5000 0.0000

Volume ... 58.9 Å³/cell
Magnetization ... 5.56 μB/f.u.

---

Which structure loses on stability? 1 does.

---

## 1
# Al3MoF

A geometry-optimized Al3MoF structure (GGA+U, Alexandria).

a b c (Å): 5.0590 5.0590 5.0590
angles (deg): 90.00 90.00 90.00
Fractional positions:
1 Mo 0.0000 0.0000 0.0000
2 Al 0.0000 0.5000 0.0000
3 Al 0.0000 0.0000 0.5000
4 Al 0.5000 0.0000 0.0000
5 F 0.5000 0.5000 0.5000

Volume ... 129.5 Å³/cell
Magnetization ... 3.04 μB/f.u.

---

## 2
# Al3MoF

A geometry-optimized Al3MoF structure (GGA+U, Alexandria).

a b c (Å): 4.2289 4.2289 4.2289
angles (deg): 90.00 90.00 90.00
Fractional positions:
1 Mo 0.5000 0.5000 0.5000
2 Al 0.5000 0.0000 0.0000
3 Al 0.0000 0.5000 0.0000
4 Al 0.0000 0.0000 0.5000
5 F 0.0000 0.0000 0.0000

Volume ... 75.6 Å³/cell
Magnetization ... 2.01 μB/f.u.

---

Which structure loses on stability? 1 does.

---

## 1
# AlMoF

A geometry-optimized AlMoF structure (GGA+U, Alexandria).

a b c (Å): 4.0783 4.1725 11.5452
angles (deg): 90.00 90.00 90.00
Fractional positions:
1 F 0.5000 0.5000 0.1296
2 F 0.5000 0.0000 0.6296
3 F 0.0000 0.0000 0.1296
4 F 0.0000 0.5000 0.6296
5 Mo 0.0000 0.5000 0.4380
6 Mo 0.0000 0.0000 0.9380
7 Mo 0.5000 0.5000 0.9380
8 Mo 0.5000 0.0000 0.4380
9 Al 0.5000 0.0000 0.7833
10 Al 0.0000 0.5000 0.7833
11 Al 0.0000 0.0000 0.2833
12 Al 0.5000 0.5000 0.2833

Volume ... 196.5 Å³/cell
Magnetization ... 1.90 μB/f.u.

---

## 2
# AlMoF

A geometry-optimized AlMoF structure (GGA+U, Alexandria).

a b c (Å): 3.3168 3.2329 17.6849
angles (deg): 90.00 92.98 90.00
Fractional positions:
1 Mo 0.8713 0.0000 0.6760
2 Mo 0.3966 0.0000 0.2674
3 Mo 0.3966 0.5000 0.7674
4 Mo 0.8713 0.5000 0.1760
5 F 0.4126 0.0000 0.5201
6 F 0.4126 0.5000 0.0201
7 F 0.9428 0.5000 0.4567
8 F 0.9428 0.0000 0.9567
9 Al 0.9179 0.5000 0.3521
10 Al 0.2036 0.5000 0.5542
11 Al 0.9179 0.0000 0.8521
12 Al 0.2036 0.0000 0.0542

Volume ... 189.4 Å³/cell
Magnetization ... 0.60 μB/f.u.

---

Which structure loses on stability? 1 does.

---

## 1
# AlMoF

A geometry-optimized AlMoF structure (GGA+U, Alexandria).

a b c (Å): 2.7438 4.2992 8.7417
angles (deg): 90.00 96.33 90.00
Fractional positions:
1 Mo 0.1342 0.2500 0.5693
2 Mo 0.8658 0.7500 0.4307
3 Al 0.3458 0.2500 0.2703
4 Al 0.6542 0.7500 0.7297
5 F 0.7909 0.2500 0.1263
6 F 0.2091 0.7500 0.8737

Volume ... 102.5 Å³/cell
Magnetization ... 0.00 μB/f.u.

---

## 2
# AlMoF

A geometry-optimized AlMoF structure (GGA+U, Alexandria).

a b c (Å): 2.6883 2.8092 7.2892
angles (deg): 79.01 87.92 80.62
Fractional positions:
1 Mo 0.0462 0.2164 0.1957
2 F 0.0529 0.9407 0.7400
3 Al 0.5504 0.8509 0.9225

Volume ... 53.3 Å³/cell
Magnetization ... 0.00 μB/f.u.

---

## 3
# AlMoF

A geometry-optimized AlMoF structure (GGA+U, Alexandria).

a b c (Å): 7.8722 4.7155 4.6265
angles (deg): 90.00 104.45 90.00
Fractional positions:
1 Mo 0.4093 0.5000 0.2103
2 Mo 0.4093 0.0000 0.7103
3 Mo 0.5907 0.0000 0.2897
4 Mo 0.5907 0.5000 0.7897
5 F 0.9747 0.5000 0.7275
6 F 0.0253 0.5000 0.2725
7 F 0.9747 0.0000 0.2275
8 F 0.0253 0.0000 0.7725
9 Al 0.2015 0.0000 0.1328
10 Al 0.7985 0.5000 0.3672
11 Al 0.2015 0.5000 0.6328
12 Al 0.7985 0.0000 0.8672

Volume ... 166.3 Å³/cell
Magnetization ... 0.00 μB/f.u.

---

## 4
# AlMoF

A geometry-optimized AlMoF structure (GGA+U, Alexandria).

a b c (Å): 3.1882 4.9168 7.7014
angles (deg): 86.70 89.90 71.15
Fractional positions:
1 F 0.4752 0.4100 0.2168
2 F 0.2260 0.9050 0.0429
3 Mo 0.6216 0.1143 0.4587
4 Mo 0.1858 0.9847 0.7551
5 Al 0.9008 0.5547 0.6085
6 Al 0.2909 0.7761 0.2650

Volume ... 114.0 Å³/cell
Magnetization ... 0.42 μB/f.u.

---

Which structure loses on stability? 2 does.